Version P
First-principles (PBE-GGA) data for a relaxed Ce4Ga3Au crystal, as listed in Alexandria via LeMat-Bulk.

```
data_Ce4Ga3Au
_cell_length_a 13.8704
_cell_length_b 4.1897
_cell_length_c 7.3639
_cell_angle_alpha 90.00
_cell_angle_beta 114.03
_cell_angle_gamma 90.00
_space_group_name_H-M_alt 'C 1 2/m 1'
_space_group_IT_number 12
loop_
_space_group_symop_operation_xyz
'x,y,z'
'-x,-y,-z'
'-x,y,-z'
'x,-y,z'
'x+1/2,y+1/2,z'
'-x+1/2,-y+1/2,-z'
'-x+1/2,y+1/2,-z'
'x+1/2,-y+1/2,z'
loop_
_atom_site_label
_atom_site_fract_x
_atom_site_fract_y
_atom_site_fract_z
_atom_site_occupancy
Ce1 0.1435 0.0000 0.2979 1
Ce2 0.1767 0.0000 0.9522 1
Ga1 0.0000 0.5000 0.0000 1
Ga2 0.1258 0.5000 0.6122 1
Au1 0.0000 0.0000 0.5000 1
```


Version Q
First-principles (PBE-GGA) data for a relaxed Ce4Ga3Au crystal, as listed in Alexandria via LeMat-Bulk.

```
data_Ce4Ga3Au
_cell_length_a 4.4151
_cell_length_b 4.5191
_cell_length_c 9.0482
_cell_angle_alpha 90.00
_cell_angle_beta 90.00
_cell_angle_gamma 90.00
_space_group_name_H-M_alt 'P m m m'
_space_group_IT_number 47
loop_
_space_group_symop_operation_xyz
'x,y,z'
'-x,-y,-z'
'-x,-y,z'
'x,y,-z'
'x,-y,-z'
'-x,y,z'
'-x,y,-z'
'x,-y,z'
loop_
_atom_site_label
_atom_site_fract_x
_atom_site_fract_y
_atom_site_fract_z
_atom_site_occupancy
Ce1 0.0000 0.0000 0.0000 1
Ce2 0.0000 0.0000 0.5000 1
Ce3 0.0000 0.5000 0.2501 1
Ga1 0.5000 0.0000 0.2457 1
Ga2 0.5000 0.5000 0.0000 1
Au1 0.5000 0.5000 0.5000 1
```


Tell me which of them is the most stable. Sure, it is version Q.


Version P
First-principles (PBE-GGA) data for a relaxed CeGa3Au crystal, as listed in Alexandria via LeMat-Bulk.

```
data_CeGa3Au
_cell_length_a 4.3647
_cell_length_b 4.3647
_cell_length_c 10.7295
_cell_angle_alpha 90.00
_cell_angle_beta 90.00
_cell_angle_gamma 90.00
_space_group_name_H-M_alt 'I 4 m m'
_space_group_IT_number 107
_space_group_name_Hall 'I 4 -2'
loop_
_atom_site_label
_atom_site_fract_x
_atom_site_fract_y
_atom_site_fract_z
_atom_site_occupancy
Ce1 0.0000 0.0000 0.0000 1
Ga1 0.0000 0.0000 0.5936 1
Ga2 0.0000 0.5000 0.2338 1
Au1 0.0000 0.0000 0.3618 1
```


Version Q
First-principles (PBE-GGA) data for a relaxed CeGa3Au crystal, as listed in Alexandria via LeMat-Bulk.

```
data_CeGa3Au
_cell_length_a 8.3967
_cell_length_b 4.4144
_cell_length_c 11.0217
_cell_angle_alpha 90.00
_cell_angle_beta 90.00
_cell_angle_gamma 90.00
_space_group_name_H-M_alt 'P n m a'
_space_group_IT_number 62
loop_
_space_group_symop_operation_xyz
'x,y,z'
'-x,-y,-z'
'-x+1/2,-y,z+1/2'
'x+1/2,y,-z+1/2'
'x+1/2,-y+1/2,-z+1/2'
'-x+1/2,y+1/2,z+1/2'
'-x,y+1/2,-z'
'x,-y+1/2,z'
loop_
_atom_site_label
_atom_site_fract_x
_atom_site_fract_y
_atom_site_fract_z
_atom_site_occupancy
Ce1 0.2009 0.2500 0.0119 1
Ga1 0.0795 0.2500 0.6021 1
Ga2 0.1055 0.7500 0.8289 1
Ga3 0.1115 0.7500 0.1965 1
Au1 0.0890 0.2500 0.3530 1
```


Tell me which of them is the most stable. Sure, it is version P.


Version P
First-principles (PBE-GGA) data for a relaxed Ce4GaAu crystal, as listed in Alexandria via LeMat-Bulk.

```
data_Ce4GaAu
_cell_length_a 5.1112
_cell_length_b 5.8172
_cell_length_c 8.8817
_cell_angle_alpha 90.00
_cell_angle_beta 90.00
_cell_angle_gamma 90.00
_space_group_name_H-M_alt 'I m m m'
_space_group_IT_number 71
_space_group_name_Hall '-I 2 2'
loop_
_atom_site_label
_atom_site_fract_x
_atom_site_fract_y
_atom_site_fract_z
_atom_site_occupancy
Ce1 0.0000 0.2499 0.1682 1
Ga1 0.0000 0.0000 0.5000 1
Au1 0.0000 0.5000 0.5000 1
```


Version Q
First-principles (PBE-GGA) data for a relaxed Ce4GaAu crystal, as listed in Alexandria via LeMat-Bulk.

```
data_Ce4GaAu
_cell_length_a 8.5738
_cell_length_b 12.9114
_cell_length_c 5.9947
_cell_angle_alpha 90.00
_cell_angle_beta 116.52
_cell_angle_gamma 90.00
_space_group_name_H-M_alt 'C 1 2/c 1'
_space_group_IT_number 15
loop_
_space_group_symop_operation_xyz
'x,y,z'
'-x,-y,-z'
'-x,y,-z+1/2'
'x,-y,z+1/2'
'x+1/2,y+1/2,z'
'-x+1/2,-y+1/2,-z'
'-x+1/2,y+1/2,-z+1/2'
'x+1/2,-y+1/2,z+1/2'
loop_
_atom_site_label
_atom_site_fract_x
_atom_site_fract_y
_atom_site_fract_z
_atom_site_occupancy
Ce1 0.1409 0.2056 0.0941 1
Ce2 0.1800 0.3983 0.3174 1
Ga1 0.0000 0.3915 0.7500 1
Au1 0.0000 0.0028 0.7500 1
```


Tell me which of them is the most stable. Sure, it is version Q.